Entry 1:
This record from the Alexandria database describes crystalline VPd3Pt2 at its relaxed geometry. The functional is PBE.

Properties
The spin magnetization is 0.8 μB per cell. For the energy above the lowest structure with this stoichiometry, the calculation gives 0 meV/atom. The value obtained for the raw total energy is -38.4 eV per cell. For the formation enthalpy at 0 K, the calculation gives -270 meV per atom.

Cell lengths 6.165, 6.165, 3.990 Å; angles 90.00, 90.00, 143.41 degrees
Fractional coordinates of all 6 atoms:
V  0.000  0.000  0.000
Pd  0.165  0.835  0.500
Pd  0.500  0.500  0.500
Pd  0.835  0.165  0.500
Pt  0.343  0.657  0.000
Pt  0.657  0.343  0.000

=====

Entry 2:
This record from the Alexandria database describes crystalline VPd3Pt at its relaxed geometry. The functional is PBE.

Properties
The spin magnetization is 1.9 μB per cell. For the energy above the lowest structure with this stoichiometry, the calculation gives 279 meV/atom. The value obtained for the raw total energy is -61.5 eV per cell. For the formation enthalpy at 0 K, the calculation gives -1 meV per atom.

Cell lengths 12.941, 12.941, 4.433 Å; angles 90.00, 90.00, 168.10 degrees
Fractional coordinates of all 10 atoms:
V  0.218  0.782  0.750
V  0.782  0.218  0.250
Pd  0.316  0.684  0.750
Pd  0.372  0.628  0.250
Pd  0.474  0.526  0.250
Pd  0.526  0.474  0.750
Pd  0.628  0.372  0.750
Pd  0.684  0.316  0.250
Pt  0.079  0.921  0.250
Pt  0.921  0.079  0.750

=====

Entry 3:
This record from the Alexandria database describes crystalline V5Pd2Pt4 at its relaxed geometry. The functional is PBE.

Properties
The spin magnetization is 0.0 μB per cell. The value obtained for the raw total energy is -168.5 eV per cell. For the formation enthalpy at 0 K, the calculation gives -375 meV per atom.

Cell lengths 6.679, 17.776, 2.721 Å; angles 90.00, 90.00, 90.00 degrees
Fractional coordinates of all 22 atoms:
V  0.000  0.000  0.000
V  0.156  0.327  0.000
V  0.171  0.590  0.000
V  0.329  0.090  0.000
V  0.344  0.827  0.000
V  0.500  0.500  0.000
V  0.656  0.173  0.000
V  0.671  0.910  0.000
V  0.829  0.410  0.000
V  0.844  0.673  0.000
Pd  0.158  0.720  0.500
Pd  0.342  0.220  0.500
Pd  0.658  0.780  0.500
Pd  0.842  0.280  0.500
Pt  0.002  0.131  0.500
Pt  0.164  0.456  0.500
Pt  0.336  0.956  0.500
Pt  0.498  0.631  0.500
Pt  0.502  0.369  0.500
Pt  0.664  0.044  0.500
Pt  0.836  0.544  0.500
Pt  0.998  0.869  0.500

=====

Entry 4:
This record from the Alexandria database describes crystalline VPd7Pt4 at its relaxed geometry. The functional is PBE.

Properties
The spin magnetization is 0.0 μB per cell. The value obtained for the raw total energy is -68.1 eV per cell. For the formation enthalpy at 0 K, the calculation gives 127 meV per atom.

Cell lengths 5.507, 5.507, 8.618 Å; angles 101.94, 101.94, 50.82 degrees
Fractional coordinates of all 12 atoms:
V  0.000  0.000  0.000
Pd  0.114  0.114  0.274
Pd  0.218  0.218  0.919
Pd  0.375  0.375  0.558
Pd  0.500  0.500  0.000
Pd  0.625  0.625  0.442
Pd  0.782  0.782  0.081
Pd  0.886  0.886  0.726
Pt  0.118  0.118  0.608
Pt  0.371  0.371  0.236
Pt  0.629  0.629  0.764
Pt  0.882  0.882  0.392